CsTlCd4: relaxed, PBE-GGA.

Lattice parameters (Å, degrees): 6.4046 6.4046 6.4046 60.00 60.00 60.00
With the nearest neighbours (Å) after each atom.
Atoms (fractional coordinates):
Cd1 0.6269 0.6268 0.1194  6 Cd 3.15-3.25
Cd2 0.1195 0.6268 0.6268  6 Cd 3.15-3.25
Cd3 0.6269 0.6268 0.6268  6 Cd 3.15-3.25
Cd4 0.6269 0.1194 0.6268  6 Cd 3.15-3.25
Cs1 0.2500 0.2500 0.2500  12 Cd 3.76, 4 Tl 3.92
Tl1 0.0000 0.0000 0.0000  12 Cd 3.75, 4 Cs 3.92

Results
E = -1.14 eV/atom
space group = F-43m (216)
formation energy from the elements = 0.05 eV/f.u.